# 1
Below is a relaxed structure of Na3NbRh, with properties calculated at the PBE level.

Cell lengths 5.072, 5.072, 5.072 Å; angles 90.00, 90.00, 90.00 degrees
Space group Pm-3m (No. 221)
Symmetry-distinct sites (fractional):
Na (0.000, 0.000, 0.500) (multiplicity 3)
Nb (0.500, 0.500, 0.500) (multiplicity 1)
Rh (0.000, 0.000, 0.000) (multiplicity 1)

Summary:
As for the energy of formation: 1.5641 eV per atom. For the polymorph energy (0 for the lowest one), the calculation gives 0.0 kJ per mole of atoms.

=====

# 2
Below is a relaxed structure of NaNb3Rh, with properties calculated at the PBE level.

Cell lengths 4.602, 4.602, 4.602 Å; angles 90.00, 90.00, 90.00 degrees
Space group Pm-3m (No. 221)
Symmetry-distinct sites (fractional):
Na (0.000, 0.000, 0.000) (multiplicity 1)
Nb (0.000, 0.000, 0.500) (multiplicity 3)
Rh (0.500, 0.500, 0.500) (multiplicity 1)

Summary:
As for the energy of formation: 2.1405 eV per atom. For the polymorph energy (0 for the lowest one), the calculation gives 102.7 kJ per mole of atoms.

=====

# 3
Below is a relaxed structure of Na3NbRh, with properties calculated at the PBE level.

Cell lengths 5.600, 5.600, 5.600 Å; angles 90.00, 90.00, 90.00 degrees
Space group Pm-3m (No. 221)
Symmetry-distinct sites (fractional):
Na (0.000, 0.000, 0.500) (multiplicity 3)
Nb (0.000, 0.000, 0.000) (multiplicity 1)
Rh (0.500, 0.500, 0.500) (multiplicity 1)

Summary:
As for the energy of formation: 1.8996 eV per atom. For the polymorph energy (0 for the lowest one), the calculation gives 32.4 kJ per mole of atoms.

=====

# 4
Below is a relaxed structure of NaNb2Rh, with properties calculated at the PBE level.

Cell lengths 7.605, 7.605, 5.498 Å; angles 90.00, 90.00, 90.00 degrees
Space group I-42d (No. 122)
Symmetry-distinct sites (fractional):
Na (0.000, 0.000, 0.000) (multiplicity 4)
Nb (0.199, 0.250, 0.625) (multiplicity 8)
Rh (0.000, 0.000, 0.500) (multiplicity 4)

Summary:
As for the energy of formation: 0.6380 eV per atom. For the polymorph energy (0 for the lowest one), the calculation gives 9.8 kJ per mole of atoms.

=====

# 5
Below is a relaxed structure of NaNbRh3, with properties calculated at the PBE level.

Cell lengths 4.783, 4.783, 4.783 Å; angles 90.00, 90.00, 90.00 degrees
Space group Pm-3m (No. 221)
Symmetry-distinct sites (fractional):
Na (0.000, 0.000, 0.000) (multiplicity 1)
Nb (0.500, 0.500, 0.500) (multiplicity 1)
Rh (0.000, 0.500, 0.500) (multiplicity 3)

Summary:
As for the energy of formation: 0.6641 eV per atom. For the polymorph energy (0 for the lowest one), the calculation gives 0.0 kJ per mole of atoms.

=====

# 6
Below is a relaxed structure of Na2NbRh, with properties calculated at the PBE level.

Cell lengths 8.402, 8.402, 5.001 Å; angles 90.00, 90.00, 90.00 degrees
Space group I-42d (No. 122)
Symmetry-distinct sites (fractional):
Na (0.208, 0.250, 0.125) (multiplicity 8)
Nb (0.000, 0.000, 0.500) (multiplicity 4)
Rh (0.000, 0.000, 0.000) (multiplicity 4)

Summary:
As for the energy of formation: 0.9503 eV per atom. For the polymorph energy (0 for the lowest one), the calculation gives 0.0 kJ per mole of atoms.

=====

# 7
Below is a relaxed structure of NaNb2Rh, with properties calculated at the PBE level.

Cell lengths 6.510, 6.510, 6.510 Å; angles 90.00, 90.00, 90.00 degrees
Space group Fm-3m (No. 225)
Symmetry-distinct sites (fractional):
Na (0.000, 0.000, 0.000) (multiplicity 4)
Nb (0.250, 0.250, 0.250) (multiplicity 8)
Rh (0.000, 0.000, 0.500) (multiplicity 4)

Summary:
As for the energy of formation: 0.5362 eV per atom. For the polymorph energy (0 for the lowest one), the calculation gives 0.0 kJ per mole of atoms.

=====

# 8
Below is a relaxed structure of NaNb3Rh, with properties calculated at the PBE level.

Cell lengths 4.912, 4.912, 4.912 Å; angles 90.00, 90.00, 90.00 degrees
Space group Pm-3m (No. 221)
Symmetry-distinct sites (fractional):
Na (0.000, 0.000, 0.000) (multiplicity 1)
Nb (0.000, 0.500, 0.500) (multiplicity 3)
Rh (0.500, 0.500, 0.500) (multiplicity 1)

Summary:
As for the energy of formation: 1.0762 eV per atom. For the polymorph energy (0 for the lowest one), the calculation gives 0.0 kJ per mole of atoms.

=====

# 9
Below is a relaxed structure of NaNb2Rh2, with properties calculated at the PBE level.

Cell lengths 7.942, 7.942, 2.841 Å; angles 90.00, 90.00, 90.00 degrees
Space group P4/mbm (No. 127)
Symmetry-distinct sites (fractional):
Na (0.000, 0.000, 0.000) (multiplicity 2)
Nb (0.152, 0.348, 0.500) (multiplicity 4)
Rh (0.140, 0.640, 0.000) (multiplicity 4)

Summary:
As for the energy of formation: -0.1120 eV per atom. For the polymorph energy (0 for the lowest one), the calculation gives 0.0 kJ per mole of atoms.

=====

# 10
Below is a relaxed structure of Na2Nb2RhS6, with properties calculated at the PBE level.

Cell lengths 5.983, 10.697, 7.194 Å; angles 90.00, 104.34, 90.00 degrees
Space group C2/m (No. 12)
Symmetry-distinct sites (fractional):
Na (0.000, 0.176, 0.000) (multiplicity 4)
Nb (0.000, 0.362, 0.500) (multiplicity 4)
Rh (0.000, 0.000, 0.500) (multiplicity 2)
S (0.217, 0.170, 0.695) (multiplicity 8)
S (0.248, 0.000, 0.270) (multiplicity 4)

Summary:
The calculation puts the energy relative to the elements, uncorrected at -0.92 eV/atom.

=====

# 11
Below is a relaxed structure of Na3NbRh2S6, with properties calculated at the PBE level.

Cell lengths 6.277, 11.087, 6.797 Å; angles 90.00, 108.46, 90.00 degrees
Space group C2/m (No. 12)
Symmetry-distinct sites (fractional):
Na (0.000, 0.000, 0.000) (multiplicity 2)
Na (0.000, 0.334, 0.000) (multiplicity 4)
Nb (0.000, 0.500, 0.500) (multiplicity 2)
Rh (0.000, 0.165, 0.500) (multiplicity 4)
S (0.223, 0.000, 0.702) (multiplicity 4)
S (0.237, 0.326, 0.698) (multiplicity 8)

Summary:
The calculation puts the energy relative to the elements, uncorrected at -0.78 eV/atom.

=====

# 12
Below is a relaxed structure of Na3NbRh3S8, with properties calculated at the PBE level.

Cell lengths 12.451, 7.171, 7.740 Å; angles 90.00, 122.52, 90.00 degrees
Space group C2/m (No. 12)
Symmetry-distinct sites (fractional):
Na (0.000, 0.000, 0.000) (multiplicity 2)
Na (0.250, 0.250, 0.000) (multiplicity 4)
Nb (0.000, 0.000, 0.500) (multiplicity 2)
Rh (0.000, 0.500, 0.500) (multiplicity 2)
Rh (0.250, 0.250, 0.500) (multiplicity 4)
S (0.019, 0.258, 0.300) (multiplicity 8)
S (0.229, 0.500, 0.687) (multiplicity 4)
S (0.239, 0.000, 0.701) (multiplicity 4)

Summary:
The calculation puts the energy relative to the elements, uncorrected at -0.73 eV/atom.

=====

# 13
Below is a relaxed structure of Na2NbRh2S6, with properties calculated at the PBE level.

Cell lengths 5.930, 10.994, 7.080 Å; angles 90.00, 107.19, 90.00 degrees
Space group C2/m (No. 12)
Symmetry-distinct sites (fractional):
Na (0.000, 0.164, 0.000) (multiplicity 4)
Nb (0.000, 0.000, 0.500) (multiplicity 2)
Rh (0.000, 0.338, 0.500) (multiplicity 4)
S (0.225, 0.500, 0.707) (multiplicity 4)
S (0.229, 0.178, 0.693) (multiplicity 8)

Summary:
The calculation puts the energy relative to the elements, uncorrected at -0.76 eV/atom.

=====

# 14
Below is a relaxed structure of Na2Nb2RhSe6, with properties calculated at the PBE level.

Cell lengths 6.223, 11.156, 7.583 Å; angles 90.00, 103.53, 90.00 degrees
Space group C2/m (No. 12)
Symmetry-distinct sites (fractional):
Na (0.000, 0.180, 0.000) (multiplicity 4)
Nb (0.000, 0.367, 0.500) (multiplicity 4)
Rh (0.000, 0.000, 0.500) (multiplicity 2)
Se (0.213, 0.172, 0.693) (multiplicity 8)
Se (0.247, 0.000, 0.264) (multiplicity 4)

Summary:
The calculation puts the energy relative to the elements, uncorrected at -0.78 eV/atom.

=====

# 15
Below is a relaxed structure of Na2NbRh2Se6, with properties calculated at the PBE level.

Cell lengths 6.249, 11.489, 7.432 Å; angles 90.00, 107.08, 90.00 degrees
Space group C2/m (No. 12)
Symmetry-distinct sites (fractional):
Na (0.000, 0.163, 0.000) (multiplicity 4)
Nb (0.000, 0.000, 0.500) (multiplicity 2)
Rh (0.000, 0.337, 0.500) (multiplicity 4)
Se (0.224, 0.500, 0.707) (multiplicity 4)
Se (0.231, 0.177, 0.695) (multiplicity 8)

Summary:
The calculation puts the energy relative to the elements, uncorrected at -0.66 eV/atom.

=====

# 16
Below is a relaxed structure of NaNb2RhSe, with properties calculated at the PBE level.

Cell lengths 4.766, 4.766, 4.758 Å; angles 90.00, 90.00, 90.00 degrees
Space group P4/mmm (No. 123)
Symmetry-distinct sites (fractional):
Na (0.000, 0.000, 0.000) (multiplicity 1)
Nb (0.000, 0.500, 0.500) (multiplicity 2)
Rh (0.500, 0.500, 0.000) (multiplicity 1)
Se (0.000, 0.000, 0.500) (multiplicity 1)

Summary:
The calculation puts the energy relative to the elements, uncorrected at 0.82 eV/atom.

=====

# 17
Below is a relaxed structure of NaNb2SnRh, with properties calculated at the PBE level.

Cell lengths 4.691, 4.691, 4.549 Å; angles 90.00, 90.00, 90.00 degrees
Space group P4/mmm (No. 123)
Symmetry-distinct sites (fractional):
Na (0.000, 0.000, 0.000) (multiplicity 1)
Nb (0.000, 0.500, 0.000) (multiplicity 2)
Sn (0.500, 0.500, 0.500) (multiplicity 1)
Rh (0.000, 0.000, 0.500) (multiplicity 1)

Summary:
As for the energy of formation: 1.5603 eV per atom.

=====

# 18
Below is a relaxed structure of NaNbVRh2, with properties calculated at the PBE level.

Cell lengths 4.824, 4.824, 4.626 Å; angles 90.00, 90.00, 90.00 degrees
Space group P4/mmm (No. 123)
Symmetry-distinct sites (fractional):
Na (0.000, 0.000, 0.000) (multiplicity 1)
Nb (0.500, 0.500, 0.500) (multiplicity 1)
V (0.500, 0.500, 0.000) (multiplicity 1)
Rh (0.000, 0.500, 0.500) (multiplicity 2)

Summary:
As for the energy of formation: 0.9693 eV per atom.

=====

# 19
Below is a relaxed structure of NaNbRhW2, with properties calculated at the PBE level.

Cell lengths 4.792, 4.792, 4.894 Å; angles 90.00, 90.00, 90.00 degrees
Space group P4/mmm (No. 123)
Symmetry-distinct sites (fractional):
Na (0.000, 0.000, 0.000) (multiplicity 1)
Nb (0.500, 0.500, 0.000) (multiplicity 1)
Rh (0.500, 0.500, 0.500) (multiplicity 1)
W (0.000, 0.500, 0.500) (multiplicity 2)

Summary:
As for the energy of formation: 1.6946 eV per atom.

=====

# 20
Below is a relaxed structure of Na2NbRu2, with properties calculated at the PBE level.

Cell lengths 6.305, 6.305, 5.307 Å; angles 90.00, 90.00, 90.00 degrees
Space group P4/mbm (No. 127)
Symmetry-distinct sites (fractional):
Na (0.172, 0.328, 0.000) (multiplicity 4)
Nb (0.000, 0.000, 0.500) (multiplicity 2)
Ru (0.137, 0.637, 0.500) (multiplicity 4)

Summary:
As for the energy of formation: 0.5749 eV per atom. For the polymorph energy (0 for the lowest one), the calculation gives 0.0 kJ per mole of atoms.

=====

# 21
Below is a relaxed structure of NaNbRu2, with properties calculated at the PBE level.

Cell lengths 7.142, 7.142, 5.688 Å; angles 90.00, 90.00, 90.00 degrees
Space group I-42d (No. 122)
Symmetry-distinct sites (fractional):
Na (0.000, 0.000, 0.000) (multiplicity 4)
Nb (0.000, 0.000, 0.500) (multiplicity 4)
Ru (0.216, 0.750, 0.625) (multiplicity 8)

Summary:
As for the energy of formation: 0.7920 eV per atom. For the polymorph energy (0 for the lowest one), the calculation gives 40.7 kJ per mole of atoms.

=====

# 22
Below is a relaxed structure of NaNbRu2, with properties calculated at the PBE level.

Cell lengths 6.320, 6.320, 6.320 Å; angles 90.00, 90.00, 90.00 degrees
Space group Fm-3m (No. 225)
Symmetry-distinct sites (fractional):
Na (0.000, 0.000, 0.000) (multiplicity 4)
Nb (0.000, 0.000, 0.500) (multiplicity 4)
Ru (0.250, 0.250, 0.250) (multiplicity 8)

Summary:
As for the energy of formation: 0.3705 eV per atom. For the polymorph energy (0 for the lowest one), the calculation gives 0.0 kJ per mole of atoms.

=====

# 23
Below is a relaxed structure of Na2NbRu2, with properties calculated at the PBE level.

Cell lengths 3.400, 3.400, 15.312 Å; angles 90.00, 90.00, 90.00 degrees
Space group I4/mmm (No. 139)
Symmetry-distinct sites (fractional):
Na (0.000, 0.500, 0.250) (multiplicity 4)
Nb (0.000, 0.000, 0.000) (multiplicity 2)
Ru (0.000, 0.000, 0.413) (multiplicity 4)

Summary:
As for the energy of formation: 0.7114 eV per atom. For the polymorph energy (0 for the lowest one), the calculation gives 13.2 kJ per mole of atoms.

=====

# 24
Below is a relaxed structure of Na2NbRu, with properties calculated at the PBE level.

Cell lengths 6.652, 6.652, 6.652 Å; angles 90.00, 90.00, 90.00 degrees
Space group Fm-3m (No. 225)
Symmetry-distinct sites (fractional):
Na (0.250, 0.250, 0.250) (multiplicity 8)
Nb (0.000, 0.000, 0.000) (multiplicity 4)
Ru (0.000, 0.000, 0.500) (multiplicity 4)

Summary:
As for the energy of formation: 1.4567 eV per atom. For the polymorph energy (0 for the lowest one), the calculation gives 24.9 kJ per mole of atoms.

=====

# 25
Below is a relaxed structure of Na2NbRu, with properties calculated at the PBE level.

Cell lengths 8.433, 8.433, 4.883 Å; angles 90.00, 90.00, 90.00 degrees
Space group I-42d (No. 122)
Symmetry-distinct sites (fractional):
Na (0.214, 0.750, 0.125) (multiplicity 8)
Nb (0.000, 0.000, 0.500) (multiplicity 4)
Ru (0.000, 0.000, 0.000) (multiplicity 4)

Summary:
As for the energy of formation: 1.1986 eV per atom. For the polymorph energy (0 for the lowest one), the calculation gives 0.0 kJ per mole of atoms.

=====

no.,total magnetic moment (Bohr magnetons per cell),DFT total energy (eV per atom)
1,0.0,-2.712
2,0.0,-5.635
3,4.9,-2.376
4,0.0,-6.565
5,0.0,-6.025
6,8.1,-4.065
7,0.0,-6.666
8,0.0,-6.700
9,0.0,-7.344
10,1.8,-5.905
11,4.1,-5.237
12,1.6,-5.340
13,2.1,-5.503
14,1.6,-5.415
15,2.1,-5.051
16,0.0,-5.643
17,0.0,-5.002
18,0.0,-6.073
19,0.0,-7.235
20,0.0,-5.677
21,0.0,-6.693
22,0.0,-7.115
23,1.5,-5.541
24,0.0,-4.039
25,5.5,-4.297